# 1
VASP calculation (PBE) on a geometry-optimized BaZn2NiHg structure.

Summary:
The calculation puts the polymorph energy (0 for the lowest one) at 5.51 eV/f.u. Its total magnetization is 0.00 μB/f.u. For the formation energy from the elements, the calculation gives 0.90 eV/atom. As for the density of states at the Fermi level: 0.390 states/eV per atom.

Structure (CIF):
```
data_BaZn2NiHg
_cell_length_a 6.771
_cell_length_b 6.771
_cell_length_c 5.261
_cell_angle_alpha 90.00
_cell_angle_beta 90.00
_cell_angle_gamma 90.00
_symmetry_space_group_name_H-M 'P 4/m m m'
_symmetry_Int_Tables_number 123
_symmetry_space_group_name_Hall '-P 4 2'
loop_
_atom_site_label
_atom_site_fract_x
_atom_site_fract_y
_atom_site_fract_z
_atom_site_occupancy
Ba1 0.000 0.000 0.000 1
Zn1 0.000 0.500 0.000 1
Ni1 0.000 0.000 0.500 1
Hg1 0.500 0.500 0.500 1
```


# 2
VASP calculation (PBE) on a geometry-optimized Na4BiSb3Te8 structure.

Summary:
As for the formation energy from raw total energies: -0.48 eV/atom. Its total magnetization is 0.00 μB/f.u.

Structure (CIF):
```
data_Na4BiSb3Te8
_cell_length_a 8.8992
_cell_length_b 8.8992
_cell_length_c 22.9038
_cell_angle_alpha 90.00
_cell_angle_beta 90.00
_cell_angle_gamma 120.00
_symmetry_space_group_name_H-M 'R -3 m'
_symmetry_Int_Tables_number 166
_symmetry_space_group_name_Hall '-R 3 2"'
loop_
_atom_site_label
_atom_site_fract_x
_atom_site_fract_y
_atom_site_fract_z
_atom_site_occupancy
Na1 0.0000 0.0000 0.0000 1
Na2 0.0000 0.5000 0.0000 1
Bi1 0.0000 0.0000 0.5000 1
Sb1 0.0000 0.5000 0.5000 1
Te1 0.0000 0.0000 0.2433 1
Te2 0.0051 0.5025 0.7557 1
```


Going through the records in order, we get final energy values of -1.209 -3.393 eV/atom.
Going through the records in order, we get calculated volume values of 48.23 32.73 Å³/atom.